# Sc2InCl, optimized geometry, DFT GGA-PBE
data_Sc2InCl
_chemical_formula_sum 'Sc2 In1 Cl1'
_cell_length_a 3.4411
_cell_length_b 4.6278
_cell_length_c 5.7289
_cell_angle_alpha 90.00
_cell_angle_beta 90.00
_cell_angle_gamma 90.00
_space_group_name_H-M_alt 'P m m 2'
_space_group_IT_number 25
loop_
_space_group_symop_operation_xyz
'x,y,z'
'-x,-y,z'
'-x,y,z'
'x,-y,z'
loop_
_atom_site_label
_atom_site_type_symbol
_atom_site_fract_x
_atom_site_fract_y
_atom_site_fract_z
Sc1 Sc 0.0000 0.0000 0.0000
Sc2 Sc 0.5000 0.5000 0.4604
In1 In 0.5000 0.5000 0.9614
Cl1 Cl 0.0000 0.0000 0.4662
# Spin magnetization, μB per atom: 0.02
# ΔE to the lowest computed polymorph, eV/atom: 0.115
# Fermi-level density of states, states/eV per atom: 0.5117
# Crystal system: orthorhombic
# Raw formation energy, meV/atom: -658